Nb2SeF: optimized geometry, GGA-PBE.

Volume, Å³ per cell: 142.30
Formation energy (no corrections), meV per atom: -525
Total moment, Bohr magnetons per cell: 0.00
ΔE to the lowest computed polymorph, meV per atom: 13
Energy, eV per cell: -55.2

a b c (Å): 8.361 8.361 8.361
angles (deg): 150.39 150.39 42.36
Fractional positions:
Nb 0.077 0.625 0.952
Nb 0.375 0.327 0.452
Nb 0.673 0.125 0.048
Nb 0.875 0.923 0.548
Se 0.250 0.750 0.500
Se 0.500 0.500 0.000
F 0.000 0.000 0.000
F 0.750 0.250 0.500